[1]
The following is a PBE calculation of a relaxed structure of La2Mg3Ag9, from Alexandria via LeMat-Bulk.

Properties
- total energy (eV per cell) = -44.08
- formation energy from the elements (eV/atom) = -0.270
- total moment (μB/f.u.) = 0.00
- symmetry = C222 (21)

Cell: 5.848 5.848 10.225 Å, 90.00 90.00 122.74°
Positions (direct):
La 0.000 0.500 0.246
La 0.500 0.000 0.754
Mg 0.000 0.000 0.500
Mg 0.500 0.500 0.000
Mg 0.500 0.500 0.500
Ag 0.000 0.000 0.000
Ag 0.000 0.500 0.553
Ag 0.000 0.500 0.942
Ag 0.196 0.305 0.748
Ag 0.305 0.196 0.252
Ag 0.500 0.000 0.058
Ag 0.500 0.000 0.447
Ag 0.695 0.804 0.252
Ag 0.804 0.695 0.748

***

[2]
The following is a PBE calculation of a relaxed structure of La2Mg15Ag2, from Alexandria via LeMat-Bulk.

Properties
- total energy (eV per cell) = -41.10
- formation energy from the elements (eV/atom) = -0.085
- total moment (μB/f.u.) = 0.00
- symmetry = R-3m (166)

Cell: 7.762 7.762 7.762 Å, 82.18 82.18 82.18°
Positions (direct):
La 0.170 0.170 0.170
La 0.830 0.830 0.830
Mg 0.000 0.500 0.500
Mg 0.151 0.151 0.655
Mg 0.151 0.655 0.151
Mg 0.205 0.500 0.795
Mg 0.205 0.795 0.500
Mg 0.345 0.849 0.849
Mg 0.500 0.000 0.500
Mg 0.500 0.205 0.795
Mg 0.500 0.500 0.000
Mg 0.500 0.795 0.205
Mg 0.655 0.151 0.151
Mg 0.795 0.205 0.500
Mg 0.795 0.500 0.205
Mg 0.849 0.345 0.849
Mg 0.849 0.849 0.345
Ag 0.400 0.400 0.400
Ag 0.600 0.600 0.600